Below is a relaxed Li2VP2O7 crystal, with properties calculated at the PBE+U level.

Cell: 5.506 7.156 9.287 Å, 108.14 102.33 107.93°
Fractional coordinates of all 24 atoms:
O  0.563  0.848  0.519
O  0.428  0.991  0.746
O  0.059  0.131  0.755
O  0.203  0.596  0.169
O  0.915  0.305  0.532
O  0.085  0.695  0.468
O  0.424  0.222  0.011
O  0.061  0.832  0.851
O  0.576  0.778  0.989
O  0.939  0.168  0.149
O  0.797  0.404  0.831
O  0.941  0.869  0.245
O  0.437  0.152  0.481
O  0.572  0.009  0.254
Li  0.808  0.346  0.047
Li  0.304  0.351  0.179
Li  0.192  0.654  0.953
Li  0.696  0.649  0.821
P  0.772  0.956  0.151
P  0.644  0.261  0.398
P  0.228  0.044  0.849
P  0.356  0.739  0.602
V  0.250  0.814  0.333
V  0.750  0.186  0.667

The value obtained for the energy is -162.265 eV/cell. The crystal system is triclinic. The symmetry is No. 2. The value obtained for the density of states at the Fermi level is 0.00 states/eV/atom.